(1)
VASP calculation (GGA-PBEsol) on an optimized crystal structure of DyMoC2.

Values from the calculation:
* energy of formation: -0.3396 eV/atom
* total magnetization: 0.000 μB per formula unit

```
DyMoC2
1.0
5.639 0.000 0.000
0.000 3.359 0.000
0.000 0.000 10.664
Dy Mo C
4 4 8
direct
0.086 0.250 0.138
0.414 0.750 0.638
0.586 0.250 0.362
0.914 0.750 0.862
0.096 0.750 0.391
0.404 0.250 0.891
0.596 0.750 0.109
0.904 0.250 0.609
0.159 0.250 0.752
0.224 0.250 0.485
0.276 0.750 0.985
0.341 0.750 0.252
0.659 0.250 0.748
0.724 0.250 0.015
0.776 0.750 0.515
0.841 0.750 0.248
```

(2)
VASP calculation (GGA-PBEsol) on an optimized crystal structure of TlZnBi2.

Values from the calculation:
* energy of formation: 0.2422 eV/atom
* total magnetization: 0.000 μB per formula unit

```
TlZnBi2
1.0
-3.084 3.084 7.167
3.084 -3.084 7.167
3.084 3.084 -7.167
Tl Zn Bi
2 2 4
direct
0.000 0.000 0.000
0.750 0.250 0.500
0.250 0.750 0.500
0.500 0.500 0.000
0.168 0.625 0.043
0.375 0.418 0.543
0.582 0.125 0.957
0.875 0.832 0.457
```

(3)
VASP calculation (GGA-PBEsol) on an optimized crystal structure of AlPPd4.

Values from the calculation:
* energy of formation: -0.7061 eV/atom
* total magnetization: 0.000 μB per formula unit

```
AlPPd4
1.0
6.601 0.000 0.000
0.000 3.358 0.000
-0.002 0.000 11.383
Al P Pd
3 3 12
direct
0.000 0.000 0.000
0.002 0.000 0.333
0.502 0.000 0.834
0.007 0.500 0.667
0.499 0.500 0.167
0.506 0.000 0.500
0.110 0.500 0.169
0.198 0.500 0.861
0.199 0.500 0.470
0.267 0.000 0.660
0.372 0.000 0.039
0.378 0.000 0.303
0.605 0.500 0.660
0.694 0.500 0.369
0.699 0.500 0.969
0.757 0.000 0.169
0.868 0.000 0.537
0.871 0.000 0.792
```

(4)
VASP calculation (GGA-PBEsol) on an optimized crystal structure of Cd2TcW.

Values from the calculation:
* energy of formation: 0.2620 eV/atom
* total magnetization: 0.000 μB per formula unit
* energy above the most stable polymorph in this dataset: 0.0 kJ/mol of atoms

```
Cd2TcW
1.0
3.082 0.000 0.000
0.000 3.082 0.000
0.000 0.000 7.360
Cd Tc W
2 1 1
direct
0.000 0.000 0.000
0.500 0.500 0.281
0.000 0.000 0.546
0.500 0.500 0.725
```

(5)
VASP calculation (GGA-PBEsol) on an optimized crystal structure of VNiAs.

Values from the calculation:
* energy of formation: -0.4675 eV/atom
* total magnetization: 0.000 μB per formula unit

```
VNiAs
1.0
6.012 0.000 0.000
0.000 3.567 0.000
0.000 0.000 7.043
V Ni As
4 4 4
direct
0.027 0.250 0.160
0.473 0.750 0.660
0.527 0.250 0.340
0.973 0.750 0.840
0.147 0.250 0.562
0.353 0.750 0.062
0.647 0.250 0.938
0.853 0.750 0.438
0.231 0.750 0.369
0.269 0.250 0.869
0.731 0.750 0.131
0.769 0.250 0.631
```

(6)
VASP calculation (GGA-PBEsol) on an optimized crystal structure of HPdAu2.

Values from the calculation:
* raw total energy: -3.71 eV/atom
* total magnetization: 0.000 μB per formula unit

```
HPdAu2
1.0
0.000 3.054 3.054
3.054 0.000 3.054
3.054 3.054 0.000
H Pd Au
1 1 2
direct
0.000 0.000 0.000
0.500 0.500 0.500
0.250 0.250 0.250
0.750 0.750 0.750
```

(7)
VASP calculation (GGA-PBEsol) on an optimized crystal structure of LiSnAs2W.

Values from the calculation:
* energy of formation: 1.6056 eV/atom
* total magnetization: 3.410 μB per formula unit

```
LiSnAs2W
1.0
5.138 0.000 0.000
0.000 5.138 0.000
0.000 0.000 4.494
Li Sn As W
1 1 2 1
direct
0.000 0.000 0.000
0.000 0.000 0.500
0.000 0.500 0.500
0.500 0.000 0.500
0.500 0.500 0.000
```

(8)
VASP calculation (GGA-PBEsol) on an optimized crystal structure of FeCo.

Values from the calculation:
* energy of formation: 0.0107 eV/atom
* total magnetization: 4.323 μB per formula unit

```
FeCo
1.0
-1.395 1.970 3.960
1.395 -1.970 3.960
1.395 1.970 -3.960
Fe Co
2 2
direct
0.375 0.125 0.250
0.625 0.875 0.750
0.127 0.377 0.750
0.873 0.623 0.250
```

(9)
VASP calculation (GGA-PBEsol) on an optimized crystal structure of CaCuRe2.

Values from the calculation:
* energy of formation: 0.4522 eV/atom
* total magnetization: 0.000 μB per formula unit
* energy above the most stable polymorph in this dataset: 13.5 kJ/mol of atoms

```
CaCuRe2
1.0
-1.365 2.285 5.131
1.365 -2.285 5.131
1.365 2.285 -5.131
Ca Cu Re
1 1 2
direct
0.000 0.000 0.000
0.500 0.500 0.000
0.281 0.781 0.500
0.719 0.219 0.500
```

(10)
VASP calculation (GGA-PBEsol) on an optimized crystal structure of CsGa2Ge2.

Values from the calculation:
* energy of formation: -0.1051 eV/atom
* total magnetization: 0.000 μB per formula unit

```
CsGa2Ge2
1.0
-2.393 2.393 5.075
2.393 -2.393 5.075
2.393 2.393 -5.075
Cs Ga Ge
1 2 2
direct
0.000 0.000 0.000
0.250 0.750 0.500
0.750 0.250 0.500
0.371 0.371 0.000
0.629 0.629 0.000
```

(11)
VASP calculation (GGA-PBEsol) on an optimized crystal structure of WN2O2.

Values from the calculation:
* total magnetization: 1.989 μB per formula unit
* energy above the most stable polymorph in this dataset: 0.0 kJ/mol of atoms

```
WN2O2
1.0
3.802 0.000 0.000
0.000 3.802 0.000
0.000 0.000 4.032
W N O
1 2 2
direct
0.000 0.000 0.000
0.000 0.000 0.500
0.500 0.500 0.500
0.000 0.500 0.000
0.500 0.000 0.000
```

(12)
VASP calculation (GGA-PBEsol) on an optimized crystal structure of Ti4CoNi.

Values from the calculation:
* energy of formation: -0.2986 eV/atom
* total magnetization: 0.002 μB per formula unit

```
Ti4CoNi
1.0
0.000 5.555 5.555
5.555 0.000 5.555
5.555 5.555 0.000
Ti Co Ni
16 4 4
direct
0.187 0.187 0.813
0.187 0.813 0.187
0.187 0.813 0.813
0.383 0.383 0.383
0.383 0.383 0.852
0.383 0.852 0.383
0.562 0.562 0.938
0.562 0.938 0.562
0.562 0.938 0.938
0.813 0.187 0.187
0.813 0.187 0.813
0.813 0.813 0.187
0.852 0.383 0.383
0.938 0.562 0.562
0.938 0.562 0.938
0.938 0.938 0.562
0.205 0.598 0.598
0.598 0.205 0.598
0.598 0.598 0.205
0.598 0.598 0.598
0.165 0.165 0.165
0.165 0.165 0.504
0.165 0.504 0.165
0.504 0.165 0.165
```